(1)
VASP calculation (GGA-PBE) on a relaxed structure of SbMoAu2C.

```
data_SbMoAu2C
_cell_length_a 4.215
_cell_length_b 4.215
_cell_length_c 5.174
_cell_angle_alpha 90.00
_cell_angle_beta 90.00
_cell_angle_gamma 90.00
_space_group_name_H-M_alt 'P 4/m m m'
_space_group_IT_number 123
_space_group_name_Hall '-P 4 2'
loop_
_atom_site_label
_atom_site_fract_x
_atom_site_fract_y
_atom_site_fract_z
_atom_site_occupancy
Sb1 0.000 0.000 0.000 1
Mo1 0.500 0.500 0.000 1
Au1 0.000 0.500 0.500 1
C1 0.000 0.000 0.500 1
```

***

(2)
VASP calculation (GGA-PBE) on a relaxed structure of KAg4Br6.

```
data_KAg4Br6
_cell_length_a 7.238
_cell_length_b 7.295
_cell_length_c 7.763
_cell_angle_alpha 71.54
_cell_angle_beta 71.02
_cell_angle_gamma 70.93
_space_group_name_H-M_alt 'P 1'
_space_group_IT_number 1
_space_group_name_Hall 'P 1'
loop_
_atom_site_label
_atom_site_fract_x
_atom_site_fract_y
_atom_site_fract_z
_atom_site_occupancy
K1 0.000 0.000 0.000 1
Ag1 0.287 0.292 0.189 1
Ag2 0.609 0.605 0.290 1
Ag3 0.642 0.994 0.655 1
Ag4 0.990 0.647 0.654 1
Br1 0.036 0.038 0.565 1
Br2 0.199 0.617 0.313 1
Br3 0.484 0.992 0.012 1
Br4 0.614 0.197 0.316 1
Br5 0.623 0.629 0.625 1
Br6 0.986 0.489 0.012 1
```

***

no.,VASP energy (eV/atom)
1,-4.986
2,-2.568